First-principles (GGA-PBE) data for a geometry-optimized ZrMnI2 structure, as listed in the Alexandria database.

It has space group Fm-3m (No. 225), with a = 6.949 Å, b = 6.949 Å, c = 6.949 Å, α = 90.00°, β = 90.00° and γ = 90.00°. The inequivalent atoms are Zr at (0.000, 0.000, 0.000), Mn at (0.000, 0.000, 0.500) and I at (0.250, 0.250, 0.250).

The uncorrected formation energy is 61.33 kJ/mol of atoms. The size of the total moment comes out at 0.00 μB/cell.



First-principles (GGA-PBE) data for a geometry-optimized ZrMn3I structure, as listed in the Alexandria database.

It has space group Pm-3m (No. 221), with a = 4.735 Å, b = 4.735 Å, c = 4.735 Å, α = 90.00°, β = 90.00° and γ = 90.00°. The inequivalent atoms are Zr at (0.000, 0.000, 0.000), Mn at (0.000, 0.500, 0.500) and I at (0.500, 0.500, 0.500).

The uncorrected formation energy is 119.22 kJ/mol of atoms. The size of the total moment comes out at 7.26 μB/cell.



First-principles (GGA-PBE) data for a geometry-optimized Zr3MnI structure, as listed in the Alexandria database.

It has space group Pm-3m (No. 221), with a = 4.923 Å, b = 4.923 Å, c = 4.923 Å, α = 90.00°, β = 90.00° and γ = 90.00°. The inequivalent atoms are Zr at (0.000, 0.000, 0.500), Mn at (0.000, 0.000, 0.000) and I at (0.500, 0.500, 0.500).

The uncorrected formation energy is 33.08 kJ/mol of atoms. The size of the total moment comes out at 0.00 μB/cell.